# 1
## OsPt2Rh (SCAN)

Data for a crystal of OsPt2Rh relaxed with PBEsol.

Lattice parameters (Å, degrees): 2.7178 3.8501 5.4585 90.00 90.00 90.00
Sites, in units of the cell vectors:
Os 0.0000 0.0000 0.0000
Pt 0.0000 0.0000 0.5104
Pt 0.5000 0.5000 0.2496
Rh 0.5000 0.5000 0.7685

---

# 2
## OsPt2Rh (SCAN)

Data for a crystal of OsPt2Rh relaxed with PBEsol.

Lattice parameters (Å, degrees): 8.9798 8.9798 8.9798 17.51 17.51 17.51
Sites, in units of the cell vectors:
Os 0.0000 0.0000 0.0000
Pt 0.2507 0.2507 0.2507
Pt 0.7493 0.7493 0.7493
Rh 0.5000 0.5000 0.5000

---

# 3
## OsPtRh2 (SCAN)

Data for a crystal of OsPtRh2 relaxed with PBEsol.

Lattice parameters (Å, degrees): 2.6932 2.6932 7.6858 90.00 90.00 90.00
Sites, in units of the cell vectors:
Os 0.0000 0.0000 0.0000
Pt 0.5000 0.5000 0.2539
Rh 0.0000 0.0000 0.5124
Rh 0.5000 0.5000 0.7615

---

Record order is preserved below.
VASP energy: -61.471 -61.424 -52.360 eV per atom